Record 1
Compound: Y2CdTc
Source: Alexandria via LeMat-Bulk
Functional: PBE-GGA
Structure: optimized geometry

Geometry as POSCAR:
```
Y2CdTc
1.0
3.539 0.000 0.000
0.000 3.515 0.021
0.000 3.459 7.588
Y Tc Cd
2 1 1
direct
0.000 0.036 0.965
0.000 0.464 0.535
0.500 0.750 0.750
0.500 0.250 0.250
```

calculated formation energy	-0.7	eV/f.u.


Record 2
Compound: CeErMgIr
Source: Alexandria via LeMat-Bulk
Functional: PBE-GGA
Structure: optimized geometry

Geometry as POSCAR:
```
CeErMgIr
1.0
-3.550 -1.034 -3.433
-4.486 -1.784 1.468
-4.107 2.912 -0.339
Mg Ir Ce Er
1 1 1 1
direct
0.500 0.500 0.500
0.000 0.000 0.000
0.250 0.250 0.250
0.750 0.750 0.750
```

calculated formation energy	-1.4	eV/f.u.


In the order shown, the computed magnetization values come out to 0.000 0.130 μB/atom.